(1)
Here is crystalline Ti3MnOs at its relaxed geometry from Alexandria. Energies are from PBE.

The value obtained for the total moment is 0.00 μB/f.u. Its energy relative to the lowest polymorph listed for this composition is 0 meV per atom. As for the density of states at the Fermi level: 4.9 states/eV/cell. As for the symmetry: Pm-3m. As for the density: 7.809 g cm⁻³. The formation energy from the elements comes out at 554 meV/atom. The final energy comes out at -8.2628 eV per atom.

Cell lengths 4.3563, 4.3563, 4.3563 Å; angles 90.00, 90.00, 90.00 degrees
With the nearest neighbours (Å) after each atom.
Fractional positions:
Ti 0.0000 0.0000 0.5000  2 Mn 2.18
Ti 0.0000 0.5000 0.0000  2 Mn 2.18
Ti 0.5000 0.0000 0.0000  2 Mn 2.18
Mn 0.0000 0.0000 0.0000  6 Ti 2.18
Os 0.5000 0.5000 0.5000  12 Ti 3.08

***

(2)
Here is crystalline YBe2Zn at its relaxed geometry from Alexandria. Energies are from PBE.

The value obtained for the total moment is 0.00 μB/f.u. As for the density of states at the Fermi level: 1.6 states/eV/cell. As for the symmetry: F-43m. As for the density: 4.645 g cm⁻³. The formation energy from the elements comes out at 89 meV/atom. The final energy comes out at -3.7084 eV per atom.

Cell lengths 4.4333, 4.4333, 4.4333 Å; angles 60.00, 60.00, 60.00 degrees
With the nearest neighbours (Å) after each atom.
Fractional positions:
Y 0.0000 0.0000 0.0000  4 Zn 2.71, 4 Be 2.71
Be 0.2500 0.2500 0.2500  4 Be 2.71, 4 Y 2.71
Be 0.5000 0.5000 0.5000  4 Zn 2.71, 4 Be 2.71
Zn 0.7500 0.7500 0.7500  4 Be 2.71, 4 Y 2.71

***

(3)
Here is crystalline BeZnAu at its relaxed geometry from Alexandria. Energies are from PBE.

The value obtained for the total moment is 0.00 μB/f.u. Its energy relative to the lowest polymorph listed for this composition is 94 meV per atom. As for the density of states at the Fermi level: 0.7 states/eV/cell. As for the symmetry: Amm2. As for the density: 9.943 g cm⁻³. The formation energy from the elements comes out at -12 meV/atom. The final energy comes out at -2.7714 eV per atom.

Cell lengths 3.5399, 4.7917, 4.7917 Å; angles 33.89, 90.00, 90.00 degrees
With the nearest neighbours (Å) after each atom.
Fractional positions:
Be 0.0000 0.0000 0.0000  3 Zn 2.40-2.64, 4 Au 2.43
Zn 0.0000 0.2875 0.2875  3 Be 2.40-2.64
Au 0.5000 0.5983 0.5983  4 Be 2.43

***

(4)
Here is crystalline Ho2Tm3Te6 at its relaxed geometry from Alexandria. Energies are from PBE.

For the raw formation energy, the calculation gives -1.34 eV/atom. The value obtained for the total moment is 0.00 μB/f.u. As for the density of states at the Fermi level: 4.8 states/eV/cell. As for the symmetry: C2/m. As for the density: 7.947 g cm⁻³. The final energy comes out at -5.1026 eV per atom.

Cell lengths 7.4237, 7.4237, 7.4232 Å; angles 99.71, 99.71, 119.68 degrees
With the nearest neighbours (Å) after each atom.
Fractional positions:
Ho 0.1635 0.8365 0.0000  6 Te 3.03-3.07
Ho 0.8365 0.1635 0.0000  6 Te 3.03-3.07
Tm 0.0000 0.0000 0.5000  6 Te 3.02-3.11
Tm 0.3290 0.6710 0.5000  6 Te 3.03-3.08
Tm 0.6710 0.3290 0.5000  6 Te 3.03-3.08
Te 0.0970 0.4196 0.7554  3 Tm 3.02-3.08, 2 Ho 3.06-3.07
Te 0.2608 0.2608 0.2488  2 Ho 3.03, 3 Tm 3.04-3.11
Te 0.4196 0.0970 0.7554  3 Tm 3.02-3.08, 2 Ho 3.06-3.07
Te 0.5804 0.9030 0.2446  3 Tm 3.02-3.08, 2 Ho 3.06-3.07
Te 0.7392 0.7392 0.7512  2 Ho 3.03, 3 Tm 3.04-3.11
Te 0.9030 0.5804 0.2446  3 Tm 3.02-3.08, 2 Ho 3.06-3.07

***

(5)
Here is crystalline Mg6Tl2Ga at its relaxed geometry from Alexandria. Energies are from PBE.

The value obtained for the total moment is 0.00 μB/f.u. As for the density of states at the Fermi level: 3.6 states/eV/cell. As for the symmetry: P-62m. As for the density: 5.035 g cm⁻³. The formation energy from the elements comes out at -77 meV/atom. The final energy comes out at -2.0024 eV per atom.

Cell lengths 7.8079, 7.8079, 3.8995 Å; angles 90.00, 90.00, 120.00 degrees
With the nearest neighbours (Å) after each atom.
Fractional positions:
Mg 0.0000 0.2506 0.0000  2 Ga 2.76, 2 Tl 2.98
Mg 0.0000 0.6218 0.5000  1 Ga 2.95, 4 Tl 3.13, 4 Mg 3.25
Mg 0.2506 0.0000 0.0000  2 Ga 2.76, 2 Tl 2.98
Mg 0.3782 0.3782 0.5000  1 Ga 2.95, 4 Tl 3.13, 4 Mg 3.25
Mg 0.6218 0.0000 0.5000  1 Ga 2.95, 4 Tl 3.13, 4 Mg 3.25
Mg 0.7494 0.7494 0.0000  2 Ga 2.76, 2 Tl 2.98
Tl 0.3333 0.6667 0.0000  9 Mg 2.98-3.13
Tl 0.6667 0.3333 0.0000  9 Mg 2.98-3.13
Ga 0.0000 0.0000 0.5000  9 Mg 2.76-2.95

***

(6)
Here is crystalline BaSbPd2C at its relaxed geometry from Alexandria. Energies are from PBE.

For the raw formation energy, the calculation gives 0.30 eV/atom. The value obtained for the total moment is 0.00 μB/f.u. As for the density of states at the Fermi level: 1.8 states/eV/cell. As for the symmetry: P4/mmm. As for the density: 7.805 g cm⁻³. The final energy comes out at -4.8300 eV per atom.

Cell lengths 4.6127, 4.6127, 4.8388 Å; angles 90.00, 90.00, 90.00 degrees
With the nearest neighbours (Å) after each atom.
Fractional positions:
Ba 0.0000 0.0000 0.0000  4 Sb 3.26, 8 Pd 3.34
Sb 0.5000 0.5000 0.0000  2 C 2.42
Pd 0.0000 0.5000 0.5000  2 C 2.31
Pd 0.5000 0.0000 0.5000  2 C 2.31
C 0.5000 0.5000 0.5000  4 Pd 2.31, 2 Sb 2.42

***

- The lowest density belongs to which entry?
  YBe2Zn